An optimized crystal structure of LaVIr. Source: Alexandria via LeMat-Bulk, functional PBE.

Energy relative to the elements, eV/atom: -0.26
Energy, eV for the cell shown: -94.75

```
data_LaVIr
_chemical_formula_sum 'La4 V4 Ir4'
_space_group_name_H-M_alt 'P 1'
_space_group_IT_number 1
_space_group_name_Hall 'P 1'
_cell_length_a 6.588
_cell_length_b 6.588
_cell_length_c 6.588
_cell_angle_alpha 90.00
_cell_angle_beta 90.00
_cell_angle_gamma 90.00
loop_
_atom_site_label
_atom_site_type_symbol
_atom_site_fract_x
_atom_site_fract_y
_atom_site_fract_z
La1 La 0.092 0.092 0.092
La2 La 0.408 0.908 0.592
La3 La 0.592 0.408 0.908
La4 La 0.908 0.592 0.408
V1 V 0.088 0.588 0.912
V2 V 0.412 0.412 0.412
V3 V 0.588 0.912 0.088
V4 V 0.912 0.088 0.588
Ir1 Ir 0.184 0.316 0.684
Ir2 Ir 0.316 0.684 0.184
Ir3 Ir 0.684 0.184 0.316
Ir4 Ir 0.816 0.816 0.816
```